The following is a GGA-PBE calculation of a geometry-optimized AcY4Er10 structure, from Alexandria via LeMat-Bulk.

The energy of formation from the pure elements is 0.544 eV per atom. For the total magnetization, the calculation gives 0.0 μB per formula unit. As for the space group: I4/m (87). For the uncorrected energy, the calculation gives -4.496 eV/atom. The crystal system is tetragonal.

Unit cell a=6.5440 b=9.6553 c=9.6553 alpha=83.41 beta=70.19 gamma=70.19
With the nearest neighbours (Å) after each atom.
Fractional coordinates of all 15 atoms:
1 Y 0.3216 0.2460 0.1108  6 Er 3.35-3.47, 2 Y 3.47
2 Y 0.6784 0.7540 0.8892  6 Er 3.35-3.47, 2 Y 3.47
3 Y 0.4324 0.8892 0.2460  6 Er 3.35-3.47, 2 Y 3.47
4 Y 0.5676 0.1108 0.7540  6 Er 3.35-3.47, 2 Y 3.47
5 Er 0.1203 0.4207 0.8384  4 Er 3.16-3.27, 3 Y 3.35-3.47
6 Er 0.7500 0.5000 0.5000  6 Er 3.16-3.27
7 Er 0.3794 0.5793 0.1616  4 Er 3.16-3.27, 3 Y 3.35-3.47
8 Er 0.2500 0.5000 0.5000  6 Er 3.16-3.27
9 Er 0.9587 0.1616 0.4207  4 Er 3.16-3.27, 3 Y 3.35-3.47
10 Er 0.0413 0.8384 0.5793  4 Er 3.16-3.27, 3 Y 3.35-3.47
11 Er 0.8797 0.5793 0.1616  4 Er 3.16-3.27, 3 Y 3.35-3.47
12 Er 0.5410 0.8384 0.5793  4 Er 3.16-3.27, 3 Y 3.35-3.47
13 Er 0.6206 0.4207 0.8384  4 Er 3.16-3.27, 3 Y 3.35-3.47
14 Er 0.4590 0.1616 0.4207  4 Er 3.16-3.27, 3 Y 3.35-3.47
15 Ac 0.0000 0.0000 0.0000  8 Y 4.09, 8 Er 4.41